No. 1
## BeHg3S (GGA-PBEsol)

Data for a relaxed BeHg3S crystal.

Computed properties:
Electronic total energy   -1.616 eV/atom
Fermi-level density of states   4.2 states/eV/f.u.
Uncorrected formation energy   401 meV per atom
Theoretical density   10.11 g/cm3

Structure (CIF):
```
data_BeHg3S
_space_group_name_H-M_alt 'P m -3 m'
_space_group_IT_number 221
_space_group_name_Hall '-P 4 2 3'
_cell_length_a 4.7259
_cell_length_b 4.7259
_cell_length_c 4.7259
_cell_angle_alpha 90.00
_cell_angle_beta 90.00
_cell_angle_gamma 90.00
loop_
_atom_site_label
_atom_site_fract_x
_atom_site_fract_y
_atom_site_fract_z
_atom_site_occupancy
Be1 0.0000 0.0000 0.0000 1
Hg1 0.0000 0.0000 0.5000 1
S1 0.5000 0.5000 0.5000 1
```

No. 2
## BeNbFeHg2 (GGA-PBEsol)

Data for a relaxed BeNbFeHg2 crystal.

Computed properties:
Electronic total energy   -3.290 eV/atom
Fermi-level density of states   5.8 states/eV/f.u.
Calculated formation energy   1.6935 eV per atom
Theoretical density   7.82 g/cm3

Structure (CIF):
```
data_BeNbFeHg2
_space_group_name_H-M_alt 'P 4/m m m'
_space_group_IT_number 123
_space_group_name_Hall '-P 4 2'
_cell_length_a 5.2024
_cell_length_b 5.2024
_cell_length_c 4.3845
_cell_angle_alpha 90.00
_cell_angle_beta 90.00
_cell_angle_gamma 90.00
loop_
_atom_site_label
_atom_site_fract_x
_atom_site_fract_y
_atom_site_fract_z
_atom_site_occupancy
Be1 0.0000 0.0000 0.0000 1
Nb1 0.0000 0.0000 0.5000 1
Fe1 0.5000 0.5000 0.0000 1
Hg1 0.0000 0.5000 0.5000 1
```

No. 3
## Tc (GGA-PBEsol)

Data for a relaxed Tc crystal.

Computed properties:
Electronic total energy   -11.266 eV/atom
Fermi-level density of states   1.0 states/eV/f.u.
Calculated formation energy   0.0000 eV per atom
Theoretical density   11.66 g/cm3

Structure (CIF):
```
data_Tc
_space_group_name_H-M_alt 'P 63/m m c'
_space_group_IT_number 194
_space_group_name_Hall '-P 6c 2c'
_cell_length_a 2.7197
_cell_length_b 2.7197
_cell_length_c 4.3559
_cell_angle_alpha 90.00
_cell_angle_beta 90.00
_cell_angle_gamma 120.00
loop_
_atom_site_label
_atom_site_fract_x
_atom_site_fract_y
_atom_site_fract_z
_atom_site_occupancy
Tc1 0.3333 0.6667 0.2500 1
```

No. 4
## KTl2Cd (GGA-PBEsol)

Data for a relaxed KTl2Cd crystal.

Computed properties:
Electronic total energy   -1.897 eV/atom
Fermi-level density of states   2.2 states/eV/f.u.
Calculated formation energy   0.0010 eV per atom
Theoretical density   8.27 g/cm3

Structure (CIF):
```
data_KTl2Cd
_space_group_name_H-M_alt 'I -4 m 2'
_space_group_IT_number 119
_space_group_name_Hall 'I -4 -2'
_cell_length_a 5.3580
_cell_length_b 5.3580
_cell_length_c 7.8352
_cell_angle_alpha 90.00
_cell_angle_beta 90.00
_cell_angle_gamma 90.00
loop_
_atom_site_label
_atom_site_fract_x
_atom_site_fract_y
_atom_site_fract_z
_atom_site_occupancy
K1 0.0000 0.0000 0.0000 1
Tl1 0.0000 0.0000 0.5000 1
Tl2 0.0000 0.5000 0.2500 1
Cd1 0.0000 0.5000 0.7500 1
```